! Ca8P2N3 (GGA-PBE, optimized geometry); values from VASP
&SYSTEM
  ibrav = 0, nat = 13, ntyp = 3
/
ATOMIC_SPECIES
Ca 40.08 Ca.upf
P 30.97 P.upf
N 14.01 N.upf
ATOMIC_POSITIONS angstrom
Ca 0.493 0.000 2.406
Ca 5.325 1.995 0.618
Ca 6.642 1.995 5.343
Ca 4.425 0.000 3.377
Ca 7.541 0.000 2.584
Ca 5.325 -1.995 0.618
Ca 6.642 -1.995 5.343
Ca 11.473 0.000 3.555
P 1.994 0.000 4.894
P 9.973 0.000 1.068
N 0.000 0.000 0.000
N 5.983 1.787 2.981
N 5.983 -1.787 2.981
CELL_PARAMETERS angstrom
7.013 -3.673 0.000
7.013 3.673 0.000
-2.059 0.000 5.961
! volume: 23.6 A^3/atom
! formation energy without anion corrections: -0.895 eV/atom
! space-group type: C2/m (12)
! theoretical density: 2.30 g cm⁻³
! density of states at the Fermi level: 2.469 states/eV/cell



! K2BeAl (GGA-PBE, optimized geometry); values from VASP
&SYSTEM
  ibrav = 0, nat = 12, ntyp = 3
/
ATOMIC_SPECIES
K 39.10 K.upf
Be 9.01 Be.upf
Al 26.98 Al.upf
ATOMIC_POSITIONS angstrom
K 0.000 0.000 0.000
K 0.000 0.000 4.972
K 0.000 2.485 18.819
K 0.000 2.485 23.791
K 2.152 1.242 9.410
K 2.152 1.242 14.381
Be 0.000 0.000 11.895
Be 0.000 2.485 2.485
Be 2.152 1.242 21.304
Al 0.000 0.000 21.306
Al 0.000 2.485 11.896
Al 2.152 1.242 2.487
CELL_PARAMETERS angstrom
4.304 0.000 0.000
-2.152 3.727 0.000
0.000 0.000 28.229
! volume: 37.7 A^3/atom
! formation energy: 415 meV/atom
! space-group type: R3m (160)
! theoretical density: 1.26 g cm⁻³
! density of states at the Fermi level: 13.254 states/eV/cell
! E above lowest polymorph: 0.38 kcal/mol of atoms



! LiP2Pb (GGA-PBE, optimized geometry); values from VASP
&SYSTEM
  ibrav = 0, nat = 8, ntyp = 3
/
ATOMIC_SPECIES
Li 6.94 Li.upf
P 30.97 P.upf
Pb 207.20 Pb.upf
ATOMIC_POSITIONS angstrom
Li 0.000 0.000 0.000
Li 1.657 2.090 5.953
P 0.000 0.000 5.958
P 0.000 2.090 1.612
P 1.657 0.000 7.565
P 1.657 2.090 0.005
Pb 0.000 2.090 9.256
Pb 1.657 0.000 3.303
CELL_PARAMETERS angstrom
3.314 0.000 0.000
0.000 4.180 0.000
0.000 0.000 11.906
! volume: 20.6 A^3/atom
! formation energy: -92 meV/atom
! space-group type: Imm2 (44)
! theoretical density: 5.56 g cm⁻³
! density of states at the Fermi level: 2.188 states/eV/cell



! LaEuAgSn (GGA-PBE, optimized geometry); values from VASP
&SYSTEM
  ibrav = 0, nat = 16, ntyp = 4
/
ATOMIC_SPECIES
La 138.91 La.upf
Eu 151.96 Eu.upf
Ag 107.87 Ag.upf
Sn 118.71 Sn.upf
ATOMIC_POSITIONS angstrom
La 0.000 0.000 0.000
La 0.000 3.890 3.890
La 3.890 0.000 3.890
La 3.890 3.890 0.000
Eu 0.000 0.000 3.890
Eu 0.000 3.890 0.000
Eu 3.890 0.000 0.000
Eu 3.890 3.890 3.890
Ag 1.945 1.945 5.834
Ag 1.945 5.834 1.945
Ag 5.834 1.945 1.945
Ag 5.834 5.834 5.834
Sn 1.945 1.945 1.945
Sn 1.945 5.834 5.834
Sn 5.834 1.945 5.834
Sn 5.834 5.834 1.945
CELL_PARAMETERS angstrom
7.779 0.000 0.000
0.000 7.779 0.000
0.000 0.000 7.779
! volume: 29.4 A^3/atom
! formation energy: -560 meV/atom
! space-group type: F-43m (216)
! theoretical density: 7.30 g cm⁻³
! density of states at the Fermi level: 40.100 states/eV/cell



- Which of these has the highest volume?
  K2BeAl



- The highest volume belongs to which entry?
  K2BeAl